Entry 1:
Here is a relaxed structure of PmNdSm6Ho2 from Alexandria via LeMat-Bulk. Energies are from GGA-PBE.

Results
Its total energy is -183.224 eV/cell. The calculation puts the energy of formation from the pure elements at 11 kJ/mol of atoms.

```
data_PmNdSm6Ho2
_symmetry_space_group_name_H-M 'C 1 2/c 1'
_symmetry_Int_Tables_number 15
_cell_length_a 9.271
_cell_length_b 15.210
_cell_length_c 9.674
_cell_angle_alpha 90.00
_cell_angle_beta 97.29
_cell_angle_gamma 90.00
loop_
_symmetry_equiv_pos_as_xyz
'x,y,z'
'-x,-y,-z'
'-x,y,-z+1/2'
'x,-y,z+1/2'
'x+1/2,y+1/2,z'
'-x+1/2,-y+1/2,-z'
'-x+1/2,y+1/2,-z+1/2'
'x+1/2,-y+1/2,z+1/2'
loop_
_atom_site_label
_atom_site_fract_x
_atom_site_fract_y
_atom_site_fract_z
Pm1 0.000 0.030 0.250
Nd1 0.000 0.407 0.750
Sm1 0.065 0.178 0.944
Sm2 0.096 0.391 0.119
Sm3 0.209 0.227 0.318
Ho1 0.247 0.049 0.547
```


Entry 2:
Here is a relaxed structure of Pm2Nd6SmHo from Alexandria via LeMat-Bulk. Energies are from GGA-PBE.

Results
Its total energy is -185.110 eV/cell. The calculation puts the energy of formation from the pure elements at 11 kJ/mol of atoms.

```
data_Pm2Nd6SmHo
_symmetry_space_group_name_H-M 'C 1 2/c 1'
_symmetry_Int_Tables_number 15
_cell_length_a 9.268
_cell_length_b 15.415
_cell_length_c 9.850
_cell_angle_alpha 90.00
_cell_angle_beta 98.27
_cell_angle_gamma 90.00
loop_
_symmetry_equiv_pos_as_xyz
'x,y,z'
'-x,-y,-z'
'-x,y,-z+1/2'
'x,-y,z+1/2'
'x+1/2,y+1/2,z'
'-x+1/2,-y+1/2,-z'
'-x+1/2,y+1/2,-z+1/2'
'x+1/2,-y+1/2,z+1/2'
loop_
_atom_site_label
_atom_site_fract_x
_atom_site_fract_y
_atom_site_fract_z
Pm1 0.247 0.050 0.043
Nd1 0.064 0.184 0.445
Nd2 0.101 0.395 0.619
Nd3 0.208 0.222 0.811
Sm1 0.000 0.021 0.750
Ho1 0.000 0.409 0.250
```


Entry 3:
Here is a relaxed structure of PmNdSmHo from Alexandria via LeMat-Bulk. Energies are from GGA-PBE.

Results
Its total energy is -73.062 eV/cell. The calculation puts the energy of formation from the pure elements at 13 kJ/mol of atoms. The excess energy over the best structure of this formula in the dataset is 0.130 eV/atom.

```
data_PmNdSmHo
_symmetry_space_group_name_H-M 'F -4 3 m'
_symmetry_Int_Tables_number 216
_symmetry_space_group_name_Hall 'F -4 2 3'
_cell_length_a 8.146
_cell_length_b 8.146
_cell_length_c 8.146
_cell_angle_alpha 90.00
_cell_angle_beta 90.00
_cell_angle_gamma 90.00
loop_
_atom_site_label
_atom_site_fract_x
_atom_site_fract_y
_atom_site_fract_z
Pm1 0.000 0.000 0.000
Nd1 0.250 0.250 0.750
Sm1 0.250 0.250 0.250
Ho1 0.000 0.000 0.500
```


Entry 4:
Here is a relaxed structure of PmNd2SmHo6 from Alexandria via LeMat-Bulk. Energies are from GGA-PBE.

Results
Its total energy is -181.042 eV/cell. The calculation puts the energy of formation from the pure elements at 12 kJ/mol of atoms.

```
data_PmNd2SmHo6
_symmetry_space_group_name_H-M 'C 1 2/c 1'
_symmetry_Int_Tables_number 15
_cell_length_a 9.046
_cell_length_b 15.047
_cell_length_c 9.782
_cell_angle_alpha 90.00
_cell_angle_beta 99.41
_cell_angle_gamma 90.00
loop_
_symmetry_equiv_pos_as_xyz
'x,y,z'
'-x,-y,-z'
'-x,y,-z+1/2'
'x,-y,z+1/2'
'x+1/2,y+1/2,z'
'-x+1/2,-y+1/2,-z'
'-x+1/2,y+1/2,-z+1/2'
'x+1/2,-y+1/2,z+1/2'
loop_
_atom_site_label
_atom_site_fract_x
_atom_site_fract_y
_atom_site_fract_z
Pm1 0.000 0.095 0.250
Nd1 0.241 0.449 0.042
Sm1 0.000 0.483 0.750
Ho1 0.069 0.309 0.443
Ho2 0.100 0.105 0.620
Ho3 0.199 0.275 0.815
```


Entry 5:
Here is a relaxed structure of PmNd5Sm2Ho from Alexandria via LeMat-Bulk. Energies are from GGA-PBE.

Results
Its total energy is -160.280 eV/cell. The calculation puts the energy of formation from the pure elements at 27 kJ/mol of atoms.

```
data_PmNd5Sm2Ho
_symmetry_space_group_name_H-M 'I 4/m c m'
_symmetry_Int_Tables_number 140
_symmetry_space_group_name_Hall '-I 4 2c'
_cell_length_a 8.872
_cell_length_b 8.872
_cell_length_c 15.929
_cell_angle_alpha 90.00
_cell_angle_beta 90.00
_cell_angle_gamma 90.00
loop_
_atom_site_label
_atom_site_fract_x
_atom_site_fract_y
_atom_site_fract_z
Pm1 0.000 0.000 0.250
Nd1 0.000 0.000 0.000
Nd2 0.209 0.291 0.139
Sm1 0.117 0.383 0.500
Ho1 0.000 0.500 0.250
```


Entry 6:
Here is a relaxed structure of PmNd2Sm2Ho2 from Alexandria via LeMat-Bulk. Energies are from GGA-PBE.

Results
Its total energy is -65.547 eV/cell. The calculation puts the energy of formation from the pure elements at 1 kJ/mol of atoms.

```
data_PmNd2Sm2Ho2
_symmetry_space_group_name_H-M 'C 1 2/m 1'
_symmetry_Int_Tables_number 12
_cell_length_a 11.414
_cell_length_b 5.114
_cell_length_c 8.103
_cell_angle_alpha 90.00
_cell_angle_beta 98.09
_cell_angle_gamma 90.00
loop_
_symmetry_equiv_pos_as_xyz
'x,y,z'
'-x,-y,-z'
'-x,y,-z'
'x,-y,z'
'x+1/2,y+1/2,z'
'-x+1/2,-y+1/2,-z'
'-x+1/2,y+1/2,-z'
'x+1/2,-y+1/2,z'
loop_
_atom_site_label
_atom_site_fract_x
_atom_site_fract_y
_atom_site_fract_z
Pm1 0.000 0.000 0.000
Nd1 0.072 0.500 0.717
Sm1 0.143 0.000 0.429
Ho1 0.215 0.500 0.142
```


Entry 7:
Here is a relaxed structure of PmNd3Sm2Ho6 from Alexandria via LeMat-Bulk. Energies are from GGA-PBE.

Results
Its total energy is -111.602 eV/cell. The calculation puts the energy of formation from the pure elements at 1 kJ/mol of atoms.

```
data_PmNd3Sm2Ho6
_symmetry_space_group_name_H-M 'C 1 2/m 1'
_symmetry_Int_Tables_number 12
_cell_length_a 6.236
_cell_length_b 10.799
_cell_length_c 11.802
_cell_angle_alpha 90.00
_cell_angle_beta 100.11
_cell_angle_gamma 90.00
loop_
_symmetry_equiv_pos_as_xyz
'x,y,z'
'-x,-y,-z'
'-x,y,-z'
'x,-y,z'
'x+1/2,y+1/2,z'
'-x+1/2,-y+1/2,-z'
'-x+1/2,y+1/2,-z'
'x+1/2,-y+1/2,z'
loop_
_atom_site_label
_atom_site_fract_x
_atom_site_fract_y
_atom_site_fract_z
Pm1 0.000 0.000 0.000
Nd1 0.000 0.167 0.500
Nd2 0.000 0.500 0.500
Sm1 0.000 0.333 0.000
Ho1 0.250 0.000 0.751
Ho2 0.250 0.167 0.249
```


Entry 8:
Here is a relaxed structure of Pm2NdSmHo4 from Alexandria via LeMat-Bulk. Energies are from GGA-PBE.

Results
Its total energy is -74.370 eV/cell. The calculation puts the energy of formation from the pure elements at 1 kJ/mol of atoms.

```
data_Pm2NdSmHo4
_symmetry_space_group_name_H-M 'P -1'
_symmetry_Int_Tables_number 2
_cell_length_a 7.202
_cell_length_b 7.202
_cell_length_c 10.058
_cell_angle_alpha 89.99
_cell_angle_beta 89.95
_cell_angle_gamma 89.94
loop_
_symmetry_equiv_pos_as_xyz
'x,y,z'
'-x,-y,-z'
loop_
_atom_site_label
_atom_site_fract_x
_atom_site_fract_y
_atom_site_fract_z
Pm1 0.000 0.000 0.000
Pm2 0.000 0.000 0.500
Pm3 0.000 0.500 0.000
Pm4 0.500 0.000 0.000
Nd1 0.500 0.000 0.500
Nd2 0.500 0.500 0.000
Sm1 0.000 0.500 0.500
Sm2 0.500 0.500 0.500
Ho1 0.250 0.250 0.250
Ho2 0.250 0.250 0.750
Ho3 0.250 0.750 0.250
Ho4 0.250 0.750 0.750
```